Record 1
Entry from Alexandria: a relaxed structure of LiZnIn (PBE).

Cell: 3.163 3.163 6.936 Å, 90.00 90.00 120.00°
Fractional coordinates of all 3 atoms:
Li (0.000, 0.000, 0.000)
Zn (0.667, 0.333, 0.304)
In (0.333, 0.667, 0.651)

calculated volume: 60 Å³/cell
space-group type: No. 156
E_form: -50 meV/atom

---

Record 2
Entry from Alexandria: a relaxed structure of NdCrAs3 (PBE).

Cell: 12.432 5.697 5.660 Å, 90.00 90.00 90.00°
Fractional coordinates of all 20 atoms:
Nd (0.190, 0.004, 0.250)
Nd (0.190, 0.496, 0.750)
Nd (0.810, 0.504, 0.250)
Nd (0.810, 0.996, 0.750)
Cr (0.415, 0.750, 0.000)
Cr (0.415, 0.750, 0.500)
Cr (0.585, 0.250, 0.000)
Cr (0.585, 0.250, 0.500)
As (0.002, 0.750, 0.000)
As (0.002, 0.750, 0.500)
As (0.291, 0.505, 0.250)
As (0.291, 0.995, 0.750)
As (0.433, 0.106, 0.250)
As (0.433, 0.394, 0.750)
As (0.567, 0.606, 0.250)
As (0.567, 0.894, 0.750)
As (0.709, 0.005, 0.250)
As (0.709, 0.495, 0.750)
As (0.998, 0.250, 0.000)
As (0.998, 0.250, 0.500)

calculated volume: 401 Å³/cell
space-group type: No. 57
E_form: -672 meV/atom

---

Record 3
Entry from Alexandria: a relaxed structure of YMg12 (PBE).

Cell: 7.796 7.796 7.796 Å, 98.44 98.44 134.94°
Fractional coordinates of all 13 atoms:
Y (0.000, 0.000, 0.000)
Mg (0.000, 0.000, 0.500)
Mg (0.000, 0.350, 0.350)
Mg (0.000, 0.500, 0.000)
Mg (0.000, 0.650, 0.650)
Mg (0.289, 0.500, 0.789)
Mg (0.350, 0.000, 0.350)
Mg (0.500, 0.000, 0.000)
Mg (0.500, 0.289, 0.789)
Mg (0.500, 0.500, 0.500)
Mg (0.500, 0.711, 0.211)
Mg (0.650, 0.000, 0.650)
Mg (0.711, 0.500, 0.211)

calculated volume: 310 Å³/cell
space-group type: No. 139
E_form: -19 meV/atom

---

Record 4
Entry from Alexandria: a relaxed structure of Mg2ZrTl3Te6 (PBE).

Cell: 7.495 7.495 8.224 Å, 98.76 98.76 120.12°
Fractional coordinates of all 12 atoms:
Mg (0.167, 0.833, 0.000)
Mg (0.833, 0.167, 0.000)
Zr (0.500, 0.500, 0.000)
Tl (0.000, 0.000, 0.500)
Tl (0.334, 0.666, 0.500)
Tl (0.666, 0.334, 0.500)
Te (0.103, 0.430, 0.794)
Te (0.242, 0.242, 0.208)
Te (0.430, 0.103, 0.794)
Te (0.570, 0.897, 0.206)
Te (0.758, 0.758, 0.792)
Te (0.897, 0.570, 0.206)

E_form (uncorrected): -0.595 eV per atom
calculated volume: 381 Å³/cell
space-group type: No. 12

---

Record 5
Entry from Alexandria: a relaxed structure of Ac2Pm7Ho3 (PBE).

Cell: 6.497 3.638 18.047 Å, 90.00 96.22 90.00°
Fractional coordinates of all 12 atoms:
Ac (0.060, 0.000, 0.173)
Ac (0.940, 0.000, 0.827)
Pm (0.000, 0.500, 0.500)
Pm (0.232, 0.000, 0.665)
Pm (0.262, 0.000, 0.998)
Pm (0.280, 0.500, 0.340)
Pm (0.720, 0.500, 0.660)
Pm (0.738, 0.000, 0.002)
Pm (0.768, 0.000, 0.335)
Ho (0.451, 0.500, 0.840)
Ho (0.500, 0.000, 0.500)
Ho (0.549, 0.500, 0.160)

calculated volume: 424 Å³/cell
space-group type: No. 10
E_form: 90 meV/atom

---

Record 6
Entry from Alexandria: a relaxed structure of LaReHg2 (PBE).

Cell: 3.179 5.102 5.723 Å, 90.00 105.35 90.00°
Fractional coordinates of all 4 atoms:
La (0.000, 0.000, 0.000)
Re (0.500, 0.000, 0.500)
Hg (0.362, 0.500, 0.727)
Hg (0.638, 0.500, 0.273)

relative energy among the computed polymorphs: 0.17 eV/f.u.
calculated volume: 90 Å³/cell
space-group type: No. 10
E_form: 370 meV/atom

---

Record 7
Entry from Alexandria: a relaxed structure of TmLuScRu (PBE).

Cell: 4.976 4.976 4.976 Å, 60.00 60.00 60.00°
Fractional coordinates of all 4 atoms:
Tm (0.000, 0.000, 0.000)
Lu (0.500, 0.500, 0.500)
Sc (0.250, 0.250, 0.250)
Ru (0.750, 0.750, 0.750)

calculated volume: 87 Å³/cell
space-group type: No. 216
E_form: -99 meV/atom

---

Record 8
Entry from Alexandria: a relaxed structure of Ba2Li3InF12 (PBE).

Cell: 7.669 7.669 7.669 Å, 51.58 51.58 51.58°
Fractional coordinates of all 18 atoms:
Ba (0.109, 0.109, 0.109)
Ba (0.891, 0.891, 0.891)
Li (0.000, 0.500, 0.500)
Li (0.500, 0.000, 0.500)
Li (0.500, 0.500, 0.000)
In (0.500, 0.500, 0.500)
F (0.114, 0.628, 0.628)
F (0.218, 0.218, 0.655)
F (0.218, 0.655, 0.218)
F (0.345, 0.782, 0.782)
F (0.372, 0.372, 0.886)
F (0.372, 0.886, 0.372)
F (0.628, 0.114, 0.628)
F (0.628, 0.628, 0.114)
F (0.655, 0.218, 0.218)
F (0.782, 0.345, 0.782)
F (0.782, 0.782, 0.345)
F (0.886, 0.372, 0.372)

E_form (uncorrected): -2.696 eV per atom
calculated volume: 256 Å³/cell
space-group type: No. 166

---

Record 9
Entry from Alexandria: a relaxed structure of Sr2MgCoN (PBE).

Cell: 5.582 5.582 3.601 Å, 90.00 90.00 90.00°
Fractional coordinates of all 5 atoms:
Sr (0.000, 0.500, 0.000)
Sr (0.500, 0.000, 0.000)
Mg (0.000, 0.000, 0.500)
Co (0.500, 0.500, 0.500)
N (0.500, 0.500, 0.000)

relative energy among the computed polymorphs: 0.00 eV/f.u.
E_form (uncorrected): -0.223 eV per atom
calculated volume: 112 Å³/cell
space-group type: No. 123

---

Record 10
Entry from Alexandria: a relaxed structure of Tb12In3Hg (PBE).

Cell: 4.852 4.852 19.394 Å, 90.00 90.00 90.00°
Fractional coordinates of all 16 atoms:
Tb (0.000, 0.000, 0.000)
Tb (0.000, 0.000, 0.249)
Tb (0.000, 0.000, 0.500)
Tb (0.000, 0.000, 0.751)
Tb (0.000, 0.500, 0.124)
Tb (0.000, 0.500, 0.375)
Tb (0.000, 0.500, 0.625)
Tb (0.000, 0.500, 0.876)
Tb (0.500, 0.000, 0.124)
Tb (0.500, 0.000, 0.375)
Tb (0.500, 0.000, 0.625)
Tb (0.500, 0.000, 0.876)
In (0.500, 0.500, 0.249)
In (0.500, 0.500, 0.500)
In (0.500, 0.500, 0.751)
Hg (0.500, 0.500, 0.000)

calculated volume: 457 Å³/cell
space-group type: No. 123
E_form: -241 meV/atom

---

Record 11
Entry from Alexandria: a relaxed structure of WBr3Cl (PBE).

Cell: 6.828 6.830 6.841 Å, 90.00 99.82 90.00°
Fractional coordinates of all 10 atoms:
W (0.002, 0.250, 0.002)
W (0.998, 0.750, 0.998)
Br (0.188, 0.000, 0.814)
Br (0.188, 0.500, 0.814)
Br (0.281, 0.250, 0.282)
Br (0.719, 0.750, 0.718)
Br (0.812, 0.000, 0.186)
Br (0.812, 0.500, 0.186)
Cl (0.260, 0.750, 0.261)
Cl (0.740, 0.250, 0.739)

relative energy among the computed polymorphs: 0.02 eV/f.u.
E_form (uncorrected): -0.453 eV per atom
calculated volume: 314 Å³/cell
space-group type: No. 11

---

Record 12
Entry from Alexandria: a relaxed structure of FeSiAg (PBE).

Cell: 4.049 4.049 4.049 Å, 60.00 60.00 60.00°
Fractional coordinates of all 3 atoms:
Fe (0.000, 0.000, 0.000)
Si (0.250, 0.250, 0.250)
Ag (0.500, 0.500, 0.500)

relative energy among the computed polymorphs: 0.46 eV/f.u.
E_form (uncorrected): 0.307 eV per atom
calculated volume: 47 Å³/cell
space-group type: No. 216